(1)
MnTe2As | meta-GGA SCAN | PBEsol geometry

Values from the calculation:
ΔE_f (raw): 0.51 eV per atom

abc: 11.6340 11.6340 11.6340
angles: 15.24 15.24 15.24
Last column: nearest neighbours and their distance in Å.
Positions (direct):
Mn (0.0000, 0.0000, 0.0000)  2 Te 2.63
Te (0.0762, 0.0762, 0.0762)  1 Mn 2.63
Te (0.9238, 0.9238, 0.9238)  1 Mn 2.63
As (0.5000, 0.5000, 0.5000)  6 As 3.09

(2)
MnTlAs2 | meta-GGA SCAN | PBEsol geometry

Values from the calculation:
distance to the lowest polymorph of the same formula: 0.00 eV per formula unit
energy of formation: 16 meV per atom

abc: 8.9865 8.9865 2.9194
angles: 90.25 90.25 18.76
Last column: nearest neighbours and their distance in Å.
Positions (direct):
Mn (0.0000, 0.0000, 0.0000)  8 As 2.50-2.52
Tl (0.7503, 0.7503, 0.5358)  4 Tl 2.92-2.93, 1 As 3.03
As (0.4193, 0.4193, 0.4972)  4 Mn 2.51-2.52
As (0.5792, 0.5792, 0.5016)  4 Mn 2.50

(3)
MnTlAs2 | meta-GGA SCAN | PBEsol geometry

Values from the calculation:
distance to the lowest polymorph of the same formula: 1.09 eV per formula unit
energy of formation: 289 meV per atom

abc: 8.7401 8.7401 8.7401
angles: 20.94 20.94 20.94
Last column: nearest neighbours and their distance in Å.
Positions (direct):
Mn (0.0000, 0.0000, 0.0000)  3 As 2.34
Tl (0.7517, 0.7517, 0.7517)  3 Mn 2.85, 3 As 3.13, 6 Tl 3.18
As (0.2764, 0.2764, 0.2764)  3 Mn 2.34
As (0.5174, 0.5174, 0.5174)  9 As 2.99-3.18, 3 Tl 3.13

(4)
MnAsW2 | meta-GGA SCAN | PBEsol geometry

Values from the calculation:
energy of formation: 310 meV per atom

abc: 4.8164 4.8164 4.8164
angles: 133.86 133.86 67.31
Last column: nearest neighbours and their distance in Å.
Positions (direct):
Mn (0.0000, 0.0000, 0.0000)  8 W 2.67-2.75, 4 As 2.75
As (0.2500, 0.7500, 0.5000)  8 W 2.67-2.75, 4 Mn 2.75
W (0.5000, 0.5000, 0.0000)  4 Mn 2.67, 4 W 2.75, 4 As 2.75
W (0.7500, 0.2500, 0.5000)  4 As 2.67, 4 Mn 2.75, 4 W 2.75

(5)
MnAsW2 | meta-GGA SCAN | PBEsol geometry

Values from the calculation:
energy of formation: 287 meV per atom

abc: 4.9769 4.9769 4.9769
angles: 143.18 130.00 63.68
Last column: nearest neighbours and their distance in Å.
Positions (direct):
Mn (0.0000, 0.0000, 0.0000)  4 As 2.63, 4 W 2.64
As (0.5000, 0.5000, 0.0000)  4 W 2.63, 4 Mn 2.63
W (0.2514, 0.7514, 0.5000)  2 As 2.63, 4 W 2.63, 2 Mn 2.64
W (0.7486, 0.2486, 0.5000)  2 As 2.63, 4 W 2.63, 2 Mn 2.64

(6)
YMn2As | meta-GGA SCAN | PBEsol geometry

Values from the calculation:
energy of formation: -390 meV per atom

abc: 3.2031 3.2031 6.5391
angles: 90.00 90.00 90.00
Last column: nearest neighbours and their distance in Å.
Positions (direct):
Y (0.0000, 0.0000, 0.0000)  6 Mn 3.04-3.38, 4 As 3.06, 4 Y 3.20
Mn (0.0000, 0.0000, 0.5163)  4 Mn 2.54, 4 As 2.62
Mn (0.5000, 0.5000, 0.6907)  1 As 2.46, 4 Mn 2.54
As (0.5000, 0.5000, 0.3140)  5 Mn 2.46-2.62

(7)
YMn4As | meta-GGA SCAN | PBEsol geometry

Values from the calculation:
energy of formation: 189 meV per atom

abc: 4.8640 4.8640 4.8640
angles: 60.00 60.00 60.00
Last column: nearest neighbours and their distance in Å.
Positions (direct):
Y (0.0000, 0.0000, 0.0000)  12 Mn 2.86, 4 As 2.98
Mn (0.1316, 0.6228, 0.6228)  6 Mn 2.39-2.47
Mn (0.6228, 0.1316, 0.6228)  6 Mn 2.39-2.47
Mn (0.6228, 0.6228, 0.1316)  6 Mn 2.39-2.47
Mn (0.6228, 0.6228, 0.6228)  6 Mn 2.39-2.47
As (0.2500, 0.2500, 0.2500)  12 Mn 2.85, 4 Y 2.98

(8)
YMn2As | meta-GGA SCAN | PBEsol geometry

Values from the calculation:
energy of formation: -260 meV per atom

abc: 5.0580 5.0580 5.0580
angles: 133.60 133.60 67.72
Last column: nearest neighbours and their distance in Å.
Positions (direct):
Y (0.0000, 0.0000, 0.0000)  8 Mn 2.82-2.90, 4 As 2.90
Mn (0.2500, 0.7500, 0.5000)  4 As 2.82, 4 Mn 2.90, 4 Y 2.90
Mn (0.5000, 0.5000, 0.0000)  4 Y 2.82, 4 Mn 2.90, 4 As 2.90
As (0.7500, 0.2500, 0.5000)  8 Mn 2.82-2.90, 4 Y 2.90

no.,theoretical density (g/cm³),E_tot (eV per atom),M_tot (Bohr magnetons per cell)
1,6.742,-27.731,3.60
2,8.962,-32.733,0.00
3,9.098,-32.460,2.74
4,14.462,-44.145,2.60
5,14.777,-44.168,0.00
6,6.774,-21.526,1.01
7,7.828,-19.987,8.39
8,6.812,-21.396,6.56